The following is a GGA-PBE calculation of crystalline Ba2IO at its relaxed geometry, from the Alexandria database.

a = 5.5387 Å, b = 5.5387 Å, c = 5.5387 Å
α = 60.00°, β = 60.00°, γ = 60.00°
Last column: nearest neighbours and their distance in Å.
Element x y z (fractional)
O1 0.0000 0.0000 0.0000  8 Ba 3.39
Ba1 0.2500 0.2500 0.2500  4 O 3.39, 4 I 3.39
Ba2 0.7500 0.7500 0.7500  4 O 3.39, 4 I 3.39
I1 0.5000 0.5000 0.5000  8 Ba 3.39

* symmetry: Fm-3m
* density of states at the Fermi level: 0.719 states/eV per atom
* ρ: 5.77 g/cm³

The following is a GGA-PBE calculation of crystalline BaIO5 at its relaxed geometry, from the Alexandria database.

a = 4.6343 Å, b = 8.6715 Å, c = 8.7122 Å
α = 120.59°, β = 94.97°, γ = 101.92°
Last column: nearest neighbours and their distance in Å.
Element x y z (fractional)
O1 0.2199 0.4780 0.8616  1 I 2.04
O2 0.8275 0.1511 0.2284  1 O 1.30
O3 0.4353 0.8247 0.7984  1 O 1.30
O4 0.5692 0.9148 0.2389  1 O 1.27
O5 0.5647 0.1753 0.2016  1 O 1.30
O6 0.1725 0.8489 0.7716  1 O 1.30
O7 0.4308 0.0852 0.7611  1 O 1.27
O8 0.7801 0.5220 0.1384  1 I 2.04
O9 0.6605 0.0365 0.7881  1 O 1.27
O10 0.3395 0.9635 0.2119  1 O 1.27
I1 0.0506 0.3124 0.5853  1 O 2.04
I2 0.9494 0.6876 0.4147  1 O 2.04
Ba1 0.2034 0.3333 0.0690  6 O 2.66-2.96
Ba2 0.7966 0.6667 0.9310  6 O 2.66-2.96

* symmetry: P-1
* ρ: 3.98 g/cm³

Record-wise total DFT energy (no corrections) values, in eV per atom: -3.772 -4.844
Record-wise formation energy (no corrections) values, in meV/atom: -1183 -806
Record-wise energy relative to the lowest polymorph listed for this composition values, in eV/f.u.: 2.98 0.00